# GGA+U AcMnAg2F8, optimized geometry
data_AcMnAg2F8
_cell_length_a 6.5873
_cell_length_b 6.5873
_cell_length_c 6.7928
_cell_angle_alpha 90.00
_cell_angle_beta 90.00
_cell_angle_gamma 120.00
_symmetry_space_group_name_H-M 'P 1'
_symmetry_Int_Tables_number 1
loop_
_symmetry_equiv_pos_as_xyz
'x,y,z'
loop_
_atom_site_label
_atom_site_fract_x
_atom_site_fract_y
_atom_site_fract_z
Ac1 0.0000 0.0000 0.5000
Mn1 0.0000 0.0000 0.0000
Ag1 0.3333 0.6667 0.7445
Ag2 0.6667 0.3333 0.2555
F1 0.1346 0.2691 0.7875
F2 0.1346 0.8654 0.7875
F3 0.7309 0.8654 0.7875
F4 0.2691 0.1346 0.2125
F5 0.6667 0.3333 0.5688
F6 0.3333 0.6667 0.4312
F7 0.8654 0.7309 0.2125
F8 0.8654 0.1346 0.2125
# crystal system = trigonal
# DFT total energy = -59.7 eV per cell